Pm2SnPd3 PBE optimized geometry; energy above the lowest structure with this stoichiometry = 25 meV/atom; symmetry = Fmmm, No. 69; DFT formation energy = -737 meV/atom
1.0
0.0000 4.6439 8.1540
3.5540 0.0000 8.1540
3.5540 4.6439 0.0000
Pm Sn Pd
4 2 6
direct
0.2437 0.7563 0.7563
0.2500 0.2500 0.2500
0.7500 0.7500 0.7500
0.7563 0.2437 0.2437
0.3336 0.3336 0.6664
0.6664 0.6664 0.3336
0.1695 0.1695 0.8305
0.1712 0.6619 0.3381
0.3381 0.8288 0.1712
0.6619 0.1712 0.8288
0.8288 0.3381 0.6619
0.8305 0.8305 0.1695